Entry from Alexandria via LeMat-Bulk: crystalline CaAlFeP at its relaxed geometry (PBE).

Lattice parameters (Å, degrees): 3.793 3.793 10.592 90.00 90.00 90.00
Positions (direct):
Ca 0.250 0.250 0.237
Ca 0.750 0.750 0.763
Al 0.250 0.750 0.500
Al 0.750 0.250 0.500
Fe 0.250 0.750 0.000
Fe 0.750 0.250 0.000
P 0.250 0.250 0.892
P 0.750 0.750 0.108

Computed properties:
Space group: P4/nmm (129)
Energy relative to the elements, eV per atom: -0.54